No. 1
# Ca2GaAu3, optimized geometry, DFT GGA-PBE
data_Ca2GaAu3
_chemical_formula_sum 'Ca2 Ga1 Au3'
_cell_length_a 3.610
_cell_length_b 4.665
_cell_length_c 8.092
_cell_angle_alpha 90.00
_cell_angle_beta 90.00
_cell_angle_gamma 90.00
_space_group_name_H-M_alt 'P 1'
_space_group_IT_number 1
_space_group_name_Hall 'P 1'
loop_
_atom_site_label
_atom_site_type_symbol
_atom_site_fract_x
_atom_site_fract_y
_atom_site_fract_z
Ga1 Ga 0.500 0.500 0.324
Ca1 Ca 0.000 0.500 0.986
Ca2 Ca 0.000 0.000 0.515
Au1 Au 0.500 0.000 0.842
Au2 Au 0.500 0.000 0.188
Au3 Au 0.500 0.500 0.644
# **Formation energy from the elements**: -0.7016 eV/atom
# **Energy above the most stable polymorph in this dataset**: 0 meV per atom
# **Total magnetic moment**: 0.00 μB per formula unit

No. 2
# LuCuSbPd, optimized geometry, DFT GGA-PBE
data_LuCuSbPd
_chemical_formula_sum 'Lu1 Cu1 Sb1 Pd1'
_cell_length_a 4.732
_cell_length_b 4.732
_cell_length_c 4.732
_cell_angle_alpha 60.00
_cell_angle_beta 60.00
_cell_angle_gamma 60.00
_space_group_name_H-M_alt 'P 1'
_space_group_IT_number 1
_space_group_name_Hall 'P 1'
loop_
_atom_site_label
_atom_site_type_symbol
_atom_site_fract_x
_atom_site_fract_y
_atom_site_fract_z
Sb1 Sb 0.000 0.000 0.000
Pd1 Pd 0.250 0.250 0.250
Cu1 Cu 0.750 0.750 0.750
Lu1 Lu 0.500 0.500 0.500
# **Formation energy without anion corrections**: -0.5649 eV per atom
# **Total magnetic moment**: 0.00 μB per formula unit

No. 3
# EuLuAgPd, optimized geometry, DFT GGA-PBE
data_EuLuAgPd
_chemical_formula_sum 'Eu1 Lu1 Ag1 Pd1'
_cell_length_a 5.087
_cell_length_b 5.087
_cell_length_c 5.087
_cell_angle_alpha 60.00
_cell_angle_beta 60.00
_cell_angle_gamma 60.00
_space_group_name_H-M_alt 'P 1'
_space_group_IT_number 1
_space_group_name_Hall 'P 1'
loop_
_atom_site_label
_atom_site_type_symbol
_atom_site_fract_x
_atom_site_fract_y
_atom_site_fract_z
Lu1 Lu 0.500 0.500 0.500
Pd1 Pd 0.750 0.750 0.750
Eu1 Eu 0.000 0.000 0.000
Ag1 Ag 0.250 0.250 0.250
# **Formation energy from the elements**: -0.4949 eV/atom
# **Total magnetic moment**: 7.10 μB per formula unit

Ordered volume results: 22.718 18.728 23.269; unit Å³/atom.